# 1
ScRuCl3 | PBE-GGA | optimized geometry

As for the relative energy among the computed polymorphs: 0.223 eV/atom.

abc: 4.755 4.755 4.755
angles: 90.00 90.00 90.00
Sites, in units of the cell vectors:
Cl  0.500  0.000  0.000
Cl  0.000  0.000  0.500
Cl  0.000  0.500  0.000
Ru  0.000  0.000  0.000
Sc  0.500  0.500  0.500

***

# 2
ScRuCl2 | PBE-GGA | optimized geometry

As for the relative energy among the computed polymorphs: 0.675 eV/atom.

abc: 3.292 3.292 8.445
angles: 90.00 90.00 122.68
Site moments in Bohr magnetons follow the coordinates.
Sites, in units of the cell vectors:
Ru  0.500  0.500  0.250  2.21
Sc  0.500  0.500  0.750  0.02
Cl  0.000  0.000  0.509  0.04
Cl  0.000  0.000  0.991  0.04

***

# 3
ScRu2Cl | PBE-GGA | optimized geometry

As for the relative energy among the computed polymorphs: 0.441 eV/atom.

abc: 3.145 3.145 6.385
angles: 90.00 90.00 90.00
Sites, in units of the cell vectors:
Cl  0.500  0.500  0.750
Ru  0.000  0.000  0.000
Ru  0.000  0.000  0.500
Sc  0.500  0.500  0.250

***

# 4
ScRu2Cl | PBE-GGA | optimized geometry

As for the relative energy among the computed polymorphs: 0.467 eV/atom.

abc: 8.538 8.538 8.538
angles: 20.22 20.22 20.22
Sites, in units of the cell vectors:
Cl  0.750  0.750  0.750
Ru  0.497  0.497  0.497
Ru  0.003  0.003  0.003
Sc  0.250  0.250  0.250

***

# 5
ScRuCl2 | PBE-GGA | optimized geometry

As for the relative energy among the computed polymorphs: 0.477 eV/atom.

abc: 10.197 10.197 10.197
angles: 18.18 18.18 18.18
Site moments in Bohr magnetons follow the coordinates.
Sites, in units of the cell vectors:
Cl  0.973  0.973  0.973  0.00
Cl  0.527  0.527  0.527  0.00
Ru  0.750  0.750  0.750  2.65
Sc  0.250  0.250  0.250  -0.29

***

# 6
ScRuCl2 | PBE-GGA | optimized geometry

As for the relative energy among the computed polymorphs: 0.156 eV/atom.

abc: 6.981 6.981 6.981
angles: 153.57 146.89 42.85
Sites, in units of the cell vectors:
Cl  0.972  0.972  0.000
Cl  0.727  0.227  0.500
Sc  0.326  0.826  0.500
Ru  0.475  0.475  0.000

***

# 7
ScRu3Cl | PBE-GGA | optimized geometry

For the total energy, the calculation gives -5.461 eV/atom.

abc: 4.799 4.799 4.799
angles: 90.00 90.00 90.00
Site moments in Bohr magnetons follow the coordinates.
Sites, in units of the cell vectors:
Ru  0.500  0.000  0.000  1.78
Ru  0.000  0.000  0.500  1.70
Ru  0.000  0.500  0.000  1.95
Sc  0.000  0.000  0.000  -0.26
Cl  0.500  0.500  0.500  0.20

***

# 8
ScRu2Cl | PBE-GGA | optimized geometry

As for the relative energy among the computed polymorphs: 0.285 eV/atom.

abc: 4.860 3.007 4.474
angles: 90.61 90.00 90.00
Site moments in Bohr magnetons follow the coordinates.
Sites, in units of the cell vectors:
Ru  0.000  0.935  0.003  0.39
Ru  0.000  0.565  0.497  0.39
Cl  0.500  0.750  0.750  0.01
Sc  0.500  0.250  0.250  -0.05